(1)
The following is a DFT calculation (PBE) of a relaxed structure of TiGe2Pd2.

POSCAR file:
```
TiGe2Pd2
1.0
-4.772 5.692 -0.556
-1.710 -2.111 -6.935
-2.143 -1.694 1.044
Ge Pd Ti
4 4 2
direct
0.169 0.669 0.500
0.669 0.831 0.500
0.831 0.331 0.500
0.331 0.169 0.500
0.368 0.868 0.000
0.868 0.632 0.000
0.632 0.132 0.000
0.132 0.368 0.000
0.000 0.000 0.000
0.500 0.500 0.000
```

Calculated values
The theoretical density comes out at 8.3 Mg/m³. The spin magnetization comes out at 0.0 μB/cell. Its space group is P4/mbm, No. 127. The calculation puts the electronic total energy at -5.775 eV per atom. The density of states at the Fermi level is 7.790 states/eV per cell. The value obtained for the formation energy is -0.272 eV per atom.

***

(2)
The following is a DFT calculation (PBE) of a relaxed structure of CaV3Mo.

POSCAR file:
```
CaV3Mo
1.0
-3.081 -2.751 -2.204
3.388 -3.119 -0.842
-0.973 -2.149 4.043
Mo Ca V
1 1 3
direct
0.000 0.000 0.000
0.500 0.500 0.500
0.000 0.500 0.000
0.000 0.000 0.500
0.500 0.000 0.000
```

Calculated values
The theoretical density comes out at 4.7 Mg/m³. The spin magnetization comes out at 0.0 μB/cell. Its space group is Pm-3m, No. 221. The calculation puts the energy above the lowest structure with this stoichiometry at 0.000 eV per atom. The calculation puts the electronic total energy at -7.078 eV per atom. The density of states at the Fermi level is 6.834 states/eV per cell. The value obtained for the formation energy is 0.960 eV per atom.

***

(3)
The following is a DFT calculation (PBE) of a relaxed structure of AlZn2Pb.

POSCAR file:
```
AlZn2Pb
1.0
-8.361 2.839 -0.776
-8.707 -0.383 -1.617
-8.702 0.513 1.609
Pb Zn Al
1 2 1
direct
0.750 0.750 0.750
0.989 0.989 0.989
0.511 0.511 0.511
0.250 0.250 0.250
```

Calculated values
The theoretical density comes out at 7.2 Mg/m³. The spin magnetization comes out at 0.0 μB/cell. Its space group is R-3m, No. 166. The calculation puts the energy above the lowest structure with this stoichiometry at 0.055 eV per atom. The calculation puts the electronic total energy at -2.303 eV per atom. The density of states at the Fermi level is 1.662 states/eV per cell. The value obtained for the formation energy is 0.197 eV per atom.

***

(4)
The following is a DFT calculation (PBE) of a relaxed structure of Na3TlAu8.

POSCAR file:
```
Na3TlAu8
1.0
5.381 0.000 1.624
2.445 4.793 1.624
-0.036 -0.022 9.845
Na Tl Au
3 1 8
direct
0.375 0.375 0.875
0.000 0.000 0.999
0.500 0.500 0.501
0.875 0.875 0.375
0.940 0.438 0.184
0.435 0.937 0.691
0.438 0.438 0.184
0.937 0.937 0.691
0.187 0.187 0.439
0.688 0.688 0.937
0.438 0.940 0.184
0.937 0.435 0.691
```

Calculated values
The theoretical density comes out at 12.1 Mg/m³. The spin magnetization comes out at 0.0 μB/cell. Its space group is R3m, No. 160. The calculation puts the electronic total energy at -2.986 eV per atom. The density of states at the Fermi level is 4.965 states/eV per cell. The value obtained for the formation energy is -0.274 eV per atom.

***

(5)
The following is a DFT calculation (PBE) of a relaxed structure of SrHgS.

POSCAR file:
```
SrHgS
1.0
-4.184 -2.382 1.374
-0.195 -5.001 -0.143
1.542 -2.821 8.927
Sr S Hg
2 2 2
direct
0.609 0.609 0.173
0.391 0.391 0.827
0.282 0.282 0.153
0.718 0.718 0.847
0.826 0.826 0.522
0.174 0.174 0.478
```

Calculated values
The theoretical density comes out at 5.4 Mg/m³. The spin magnetization comes out at 0.0 μB/cell. The calculation puts the formation energy from raw total energies at -1.207 eV/atom. Its space group is R-3m, No. 166. The calculation puts the electronic total energy at -3.244 eV per atom. The density of states at the Fermi level is 0.355 states/eV per cell.

***

(6)
The following is a DFT calculation (PBE) of a relaxed structure of Mg2InIr.

POSCAR file:
```
Mg2InIr
1.0
-3.200 -3.040 2.500
0.234 -4.672 -1.960
3.614 3.169 1.626
Mg Ir In
2 1 1
direct
0.000 0.000 0.000
0.750 0.250 0.500
0.250 0.750 0.500
0.500 0.500 0.000
```

Calculated values
The theoretical density comes out at 8.3 Mg/m³. The spin magnetization comes out at 0.0 μB/cell. Its space group is F222, No. 22. The calculation puts the electronic total energy at -3.963 eV per atom. The density of states at the Fermi level is 1.163 states/eV per cell. The value obtained for the formation energy is -0.265 eV per atom.

***

(7)
The following is a DFT calculation (PBE) of a relaxed structure of YAuSe2.

POSCAR file:
```
YAuSe2
1.0
-0.518 3.152 3.841
-4.537 0.933 1.871
-1.248 -1.744 4.512
Au Se Y
1 2 1
direct
0.500 0.500 0.500
0.000 0.000 0.000
0.250 0.250 0.250
0.750 0.750 0.750
```

Calculated values
The theoretical density comes out at 8.4 Mg/m³. The spin magnetization comes out at 0.0 μB/cell. The calculation puts the formation energy from raw total energies at -0.587 eV/atom. Its space group is F-43m, No. 216. The calculation puts the electronic total energy at -4.765 eV per atom. The density of states at the Fermi level is 2.356 states/eV per cell.

***

(8)
The following is a DFT calculation (PBE) of a relaxed structure of Li2CeGa3.

POSCAR file:
```
Li2CeGa3
1.0
4.358 0.000 0.000
-2.179 3.774 0.000
0.000 0.000 13.730
Li Ce Ga
4 2 6
direct
0.667 0.333 0.425
0.333 0.667 0.575
0.333 0.667 0.925
0.667 0.333 0.075
0.000 0.000 0.250
0.000 0.000 0.750
0.000 0.000 0.500
0.000 0.000 0.000
0.667 0.333 0.621
0.333 0.667 0.121
0.667 0.333 0.879
0.333 0.667 0.379
```

Calculated values
The theoretical density comes out at 5.3 Mg/m³. The spin magnetization comes out at 2.1 μB/cell. Its space group is P6_3/mmc, No. 194. The calculation puts the electronic total energy at -3.461 eV per atom. The density of states at the Fermi level is 15.540 states/eV per cell. The value obtained for the formation energy is -0.321 eV per atom.

***

(9)
The following is a DFT calculation (PBE) of a relaxed structure of LaIrW.

POSCAR file:
```
LaIrW
1.0
4.226 0.000 0.000
-2.113 3.660 0.000
0.000 0.000 4.752
Ir La W
1 1 1
direct
0.000 0.000 0.866
0.667 0.333 0.331
0.333 0.667 0.802
```

Calculated values
The theoretical density comes out at 11.6 Mg/m³. The spin magnetization comes out at 0.0 μB/cell. Its space group is P3m1, No. 156. The calculation puts the energy above the lowest structure with this stoichiometry at 0.000 eV per atom. The calculation puts the electronic total energy at -8.977 eV per atom. The density of states at the Fermi level is 2.222 states/eV per cell. The value obtained for the formation energy is -0.063 eV per atom.

***

(10)
The following is a DFT calculation (PBE) of a relaxed structure of Ba3Sr4.

POSCAR file:
```
Ba3Sr4
1.0
-2.030 -1.891 -3.078
-0.512 -8.963 5.846
-6.737 8.731 1.868
Ba Sr
3 4
direct
0.000 0.000 0.000
0.221 0.291 0.441
0.779 0.709 0.559
0.074 0.443 0.147
0.926 0.557 0.853
0.364 0.140 0.727
0.636 0.860 0.273
```

Calculated values
The theoretical density comes out at 3.1 Mg/m³. The spin magnetization comes out at 0.0 μB/cell. Its space group is C2/m, No. 12. The calculation puts the energy above the lowest structure with this stoichiometry at 0.053 eV per atom. The calculation puts the electronic total energy at -1.726 eV per atom. The density of states at the Fermi level is 8.935 states/eV per cell. The value obtained for the formation energy is 0.059 eV per atom.

***

(11)
The following is a DFT calculation (PBE) of a relaxed structure of PmNd2SmEr2.

POSCAR file:
```
PmNd2SmEr2
1.0
5.712 0.000 0.000
0.000 9.883 0.000
0.000 0.000 7.051
Pm Nd Sm Er
2 4 2 4
direct
0.000 0.000 0.000
0.500 0.500 0.500
0.500 0.833 0.251
0.500 0.167 0.749
0.000 0.667 0.751
0.000 0.333 0.249
0.500 0.500 0.000
0.000 0.000 0.500
0.500 0.166 0.250
0.000 0.666 0.250
0.500 0.834 0.750
0.000 0.334 0.750
```

Calculated values
The theoretical density comes out at 7.7 Mg/m³. The spin magnetization comes out at 0.0 μB/cell. Its space group is Pnnm, No. 58. The calculation puts the electronic total energy at -4.622 eV per atom. The density of states at the Fermi level is 18.673 states/eV per cell. The value obtained for the formation energy is 0.066 eV per atom.

***

> Which value of spin magnetization does entry 10 give?

0.0 μB/cell

***

> What is the electronic total energy in the sixth record?

-3.963 eV per atom

***

> Which value of electronic total energy does entry 4 give?

-2.986 eV per atom